Record 1
A plane-wave DFT calculation with PBE+U was carried out for crystalline KWO3 at its relaxed geometry.

a b c (Å): 11.9152 11.9152 11.9152
angles (deg): 160.82 160.82 27.26
Sites, in units of the cell vectors:
K 0.1108 0.1108 0.0000
K 0.8892 0.8892 0.0000
W 0.5000 0.5000 0.0000
W 0.7500 0.2500 0.5000
O 0.0002 0.5002 0.5000
O 0.0909 0.3189 0.7721
O 0.4998 0.9998 0.5000
O 0.5468 0.3189 0.2279
O 0.6811 0.4532 0.7721
O 0.6811 0.9091 0.2279

Output
DOS at the Fermi energy   0.951 states/eV/cell
Space group   I-4m2 (119)

Record 2
A plane-wave DFT calculation with PBE+U was carried out for crystalline K2W2O7 at its relaxed geometry.

a b c (Å): 6.2036 14.0877 3.8873
angles (deg): 90.00 90.00 90.00
Sites, in units of the cell vectors:
K 0.1719 0.1699 0.0000
K 0.3281 0.6699 0.0000
K 0.6719 0.3301 0.0000
K 0.8281 0.8301 0.0000
W 0.2163 0.4365 0.5000
W 0.2837 0.9365 0.5000
W 0.7163 0.0635 0.5000
W 0.7837 0.5635 0.5000
O 0.0000 0.0000 0.5000
O 0.0882 0.5815 0.5000
O 0.1927 0.8146 0.5000
O 0.2239 0.4474 0.0000
O 0.2761 0.9474 0.0000
O 0.3073 0.3146 0.5000
O 0.4118 0.0815 0.5000
O 0.5000 0.5000 0.5000
O 0.5882 0.9185 0.5000
O 0.6927 0.6854 0.5000
O 0.7239 0.0526 0.0000
O 0.7761 0.5526 0.0000
O 0.8073 0.1854 0.5000
O 0.9118 0.4185 0.5000

Output
DOS at the Fermi energy   0.000 states/eV/cell
Space group   Pbam (55)
Energy above the most stable polymorph in this dataset   0.000 eV/atom

Record 3
A plane-wave DFT calculation with PBE+U was carried out for crystalline KWO3 at its relaxed geometry.

a b c (Å): 5.3799 6.7200 6.9750
angles (deg): 116.67 110.23 94.61
Sites, in units of the cell vectors:
K 0.0000 0.0000 0.0000
K 0.3662 0.3655 0.7314
W 0.1437 0.7082 0.3655
W 0.6021 0.8706 0.3655
O 0.1265 0.4414 0.3653
O 0.2410 0.6419 0.0926
O 0.5140 0.9127 0.6384
O 0.5684 0.1317 0.3657
O 0.7759 0.7010 0.1471
O 0.9949 0.9201 0.5837

Output
DOS at the Fermi energy   0.000 states/eV/cell
Space group   P1 (1)

Record 4
A plane-wave DFT calculation with PBE+U was carried out for crystalline KWO3 at its relaxed geometry.

a b c (Å): 7.9690 7.9690 7.4769
angles (deg): 94.39 94.39 22.03
Sites, in units of the cell vectors:
K 0.1515 0.1515 0.3247
K 0.8485 0.8485 0.6753
W 0.3987 0.3987 0.1969
W 0.6013 0.6013 0.8031
O 0.0179 0.0179 0.7406
O 0.1416 0.1416 0.9688
O 0.3272 0.3272 0.3735
O 0.6728 0.6728 0.6265
O 0.8584 0.8584 0.0312
O 0.9821 0.9821 0.2594

Output
DOS at the Fermi energy   0.000 states/eV/cell
Space group   C2/m (12)

Record 5
A plane-wave DFT calculation with PBE+U was carried out for crystalline K2W2O5 at its relaxed geometry.

a b c (Å): 5.7513 5.8583 9.7657
angles (deg): 82.96 72.98 89.72
Sites, in units of the cell vectors:
K 0.0000 0.0000 0.0000
K 0.2004 0.1010 0.5981
K 0.4950 0.5214 0.0179
K 0.7097 0.5835 0.5774
W 0.1029 0.5521 0.7959
W 0.3770 0.0272 0.2354
W 0.5995 0.0510 0.8022
W 0.8147 0.0853 0.3633
O 0.0337 0.8490 0.2890
O 0.1412 0.2635 0.3077
O 0.3383 0.3162 0.7998
O 0.3580 0.8031 0.7915
O 0.4823 0.9988 0.0249
O 0.5122 0.8759 0.3851
O 0.7001 0.2384 0.2127
O 0.7239 0.1040 0.5644
O 0.8488 0.3019 0.7973
O 0.8653 0.7873 0.7954

Output
Space group   P1 (1)
Energy above the most stable polymorph in this dataset   0.000 eV/atom

Record 6
A plane-wave DFT calculation with PBE+U was carried out for crystalline KW2O7 at its relaxed geometry.

a b c (Å): 6.0752 6.0752 3.8876
angles (deg): 90.00 90.00 116.50
Sites, in units of the cell vectors:
K 0.0000 0.0000 0.0000
W 0.3109 0.6891 0.5000
W 0.6891 0.3109 0.5000
O 0.0355 0.3377 0.5000
O 0.3090 0.6910 0.0000
O 0.3377 0.0355 0.5000
O 0.5000 0.5000 0.5000
O 0.6623 0.9645 0.5000
O 0.6910 0.3090 0.0000
O 0.9645 0.6623 0.5000

Output
DOS at the Fermi energy   1.751 states/eV/cell
Space group   Cmmm (65)

Record 7
A plane-wave DFT calculation with PBE+U was carried out for crystalline K3WO6 at its relaxed geometry.

a b c (Å): 6.4630 6.4630 10.5424
angles (deg): 90.00 90.00 120.00
Sites, in units of the cell vectors:
K 0.0000 0.0000 0.0000
K 0.0000 0.0000 0.5000
K 0.3333 0.6667 0.0855
K 0.3333 0.6667 0.4145
K 0.6667 0.3333 0.5855
K 0.6667 0.3333 0.9145
W 0.3333 0.6667 0.7500
W 0.6667 0.3333 0.2500
O 0.1149 0.4003 0.6448
O 0.1149 0.7146 0.8552
O 0.2854 0.4003 0.8552
O 0.2854 0.8851 0.6448
O 0.4003 0.1149 0.3552
O 0.4003 0.2854 0.1448
O 0.5997 0.7146 0.6448
O 0.5997 0.8851 0.8552
O 0.7146 0.1149 0.1448
O 0.7146 0.5997 0.3552
O 0.8851 0.2854 0.3552
O 0.8851 0.5997 0.1448

Output
Space group   P6_322 (182)

Record 8
A plane-wave DFT calculation with PBE+U was carried out for crystalline KW4O12 at its relaxed geometry.

a b c (Å): 6.7498 6.7498 6.7498
angles (deg): 109.47 109.47 109.47
Sites, in units of the cell vectors:
K 0.0000 0.0000 0.0000
W 0.0000 0.0000 0.5000
W 0.0000 0.5000 0.0000
W 0.5000 0.0000 0.0000
W 0.5000 0.5000 0.5000
O 0.0000 0.2490 0.7510
O 0.0000 0.7510 0.2490
O 0.2490 0.0000 0.7510
O 0.2490 0.2490 0.4980
O 0.2490 0.4980 0.2490
O 0.2490 0.7510 0.0000
O 0.4980 0.2490 0.2490
O 0.5020 0.7510 0.7510
O 0.7510 0.0000 0.2490
O 0.7510 0.2490 0.0000
O 0.7510 0.5020 0.7510
O 0.7510 0.7510 0.5020

Output
DOS at the Fermi energy   2.015 states/eV/cell
Space group   Im-3m (229)
Energy above the most stable polymorph in this dataset   0.045 eV/atom

Record 9
A plane-wave DFT calculation with PBE+U was carried out for crystalline K2W3O10 at its relaxed geometry.

a b c (Å): 9.7436 9.7436 9.3858
angles (deg): 111.35 111.35 36.03
Sites, in units of the cell vectors:
K 0.0941 0.0941 0.2107
K 0.2008 0.2008 0.8647
K 0.7992 0.7992 0.1353
K 0.9059 0.9059 0.7893
W 0.2530 0.7470 0.5000
W 0.3141 0.3141 0.4835
W 0.4052 0.4052 0.9410
W 0.5948 0.5948 0.0590
W 0.6859 0.6859 0.5165
W 0.7470 0.2530 0.5000
O 0.0000 0.5000 0.5000
O 0.0281 0.0281 0.6462
O 0.1279 0.5807 0.9869
O 0.1709 0.6231 0.5019
O 0.2774 0.2774 0.2806
O 0.2991 0.7009 0.0000
O 0.3651 0.3651 0.7249
O 0.3769 0.8291 0.4981
O 0.4193 0.8721 0.0131
O 0.4708 0.4708 0.3515
O 0.5000 0.0000 0.5000
O 0.5292 0.5292 0.6485
O 0.5807 0.1279 0.9869
O 0.6231 0.1709 0.5019
O 0.6349 0.6349 0.2751
O 0.7009 0.2991 0.0000
O 0.7226 0.7226 0.7194
O 0.8291 0.3769 0.4981
O 0.8721 0.4193 0.0131
O 0.9719 0.9719 0.3538

Output
Space group   C2/m (12)

Record 10
A plane-wave DFT calculation with PBE+U was carried out for crystalline KWO3 at its relaxed geometry.

a b c (Å): 7.5618 7.5618 7.5618
angles (deg): 60.00 60.00 60.00
Sites, in units of the cell vectors:
K 0.0000 0.0000 0.0000
K 0.0000 0.0000 0.5000
K 0.0000 0.5000 0.0000
K 0.5000 0.0000 0.0000
W 0.0000 0.5000 0.5000
W 0.5000 0.0000 0.5000
W 0.5000 0.5000 0.0000
W 0.5000 0.5000 0.5000
O 0.1871 0.1871 0.5629
O 0.1871 0.5629 0.1871
O 0.1871 0.5629 0.5629
O 0.4371 0.4371 0.8129
O 0.4371 0.8129 0.4371
O 0.4371 0.8129 0.8129
O 0.5629 0.1871 0.1871
O 0.5629 0.1871 0.5629
O 0.5629 0.5629 0.1871
O 0.8129 0.4371 0.4371
O 0.8129 0.4371 0.8129
O 0.8129 0.8129 0.4371

Output
DOS at the Fermi energy   4.465 states/eV/cell
Space group   Fd-3m (227)

Record 11
A plane-wave DFT calculation with PBE+U was carried out for crystalline KW4O12 at its relaxed geometry.

a b c (Å): 7.5265 7.5265 15.4846
angles (deg): 90.00 90.00 120.00
Sites, in units of the cell vectors:
K 0.0000 0.0000 0.0000
K 0.0000 0.0000 0.3134
K 0.0000 0.0000 0.6283
W 0.0000 0.5000 0.1911
W 0.0000 0.5000 0.4418
W 0.0000 0.5000 0.6921
W 0.0000 0.5000 0.9409
W 0.5000 0.0000 0.1911
W 0.5000 0.0000 0.4418
W 0.5000 0.0000 0.6921
W 0.5000 0.0000 0.9409
W 0.5000 0.5000 0.1911
W 0.5000 0.5000 0.4418
W 0.5000 0.5000 0.6921
W 0.5000 0.5000 0.9409
O 0.0000 0.5000 0.0677
O 0.0000 0.5000 0.3166
O 0.0000 0.5000 0.5653
O 0.0000 0.5000 0.8162
O 0.2112 0.4224 0.1925
O 0.2112 0.4225 0.6900
O 0.2112 0.4225 0.9427
O 0.2113 0.4226 0.4406
O 0.2112 0.7888 0.1925
O 0.2113 0.7887 0.4406
O 0.2112 0.7888 0.6900
O 0.2112 0.7888 0.9427
O 0.4224 0.2112 0.1925
O 0.4225 0.2112 0.6900
O 0.4225 0.2112 0.9427
O 0.4226 0.2113 0.4406
O 0.5000 0.0000 0.0677
O 0.5000 0.0000 0.3166
O 0.5000 0.0000 0.5653
O 0.5000 0.0000 0.8162
O 0.5000 0.5000 0.0677
O 0.5000 0.5000 0.3166
O 0.5000 0.5000 0.5653
O 0.5000 0.5000 0.8162
O 0.5774 0.7887 0.4406
O 0.5776 0.7888 0.1925
O 0.5775 0.7888 0.6900
O 0.5775 0.7888 0.9427
O 0.7888 0.2112 0.1925
O 0.7887 0.2113 0.4406
O 0.7888 0.2112 0.6900
O 0.7888 0.2112 0.9427
O 0.7887 0.5774 0.4406
O 0.7888 0.5776 0.1925
O 0.7888 0.5775 0.6900
O 0.7888 0.5775 0.9427

Output
DOS at the Fermi energy   3.364 states/eV/cell
Space group   P6mm (183)
Energy above the most stable polymorph in this dataset   0.000 eV/atom

Record 12
A plane-wave DFT calculation with PBE+U was carried out for crystalline KWO3 at its relaxed geometry.

a b c (Å): 3.3706 3.3706 6.6747
angles (deg): 90.00 90.00 90.00
Sites, in units of the cell vectors:
K 0.0000 0.0000 0.0000
W 0.5000 0.5000 0.4466
O 0.0000 0.0000 0.6156
O 0.0000 0.5000 0.2956
O 0.5000 0.0000 0.2956

Output
DOS at the Fermi energy   0.000 states/eV/cell
Space group   P4mm (99)

Record 13
A plane-wave DFT calculation with PBE+U was carried out for crystalline K2W2O5 at its relaxed geometry.

a b c (Å): 5.8068 5.8133 8.9678
angles (deg): 108.79 108.58 90.17
Sites, in units of the cell vectors:
K 0.0000 0.0000 0.0000
K 0.2421 0.2573 0.4880
K 0.4977 0.5126 0.9991
K 0.7404 0.7435 0.4867
W 0.1200 0.6237 0.2435
W 0.3707 0.8931 0.7435
W 0.6205 0.1237 0.2434
W 0.8691 0.3920 0.7433
O 0.1121 0.6124 0.7387
O 0.2455 0.7792 0.5033
O 0.3631 0.8680 0.2334
O 0.3897 0.3638 0.2522
O 0.4957 0.0200 0.9832
O 0.6271 0.6165 0.7478
O 0.7468 0.2232 0.5056
O 0.8518 0.8842 0.2354
O 0.8759 0.3795 0.2528
O 0.9928 0.4615 0.9815

Output
DOS at the Fermi energy   1.063 states/eV/cell
Space group   P1 (1)
Energy above the most stable polymorph in this dataset   0.045 eV/atom

Record 14
A plane-wave DFT calculation with PBE+U was carried out for crystalline K4WO5 at its relaxed geometry.

a b c (Å): 6.3963 10.3972 17.2377
angles (deg): 94.33 92.46 96.21
Sites, in units of the cell vectors:
K 0.0110 0.0111 0.1785
K 0.0595 0.5806 0.4151
K 0.0730 0.3517 0.2183
K 0.0756 0.1974 0.0063
K 0.2333 0.5412 0.0578
K 0.2423 0.9513 0.4317
K 0.2644 0.4038 0.8490
K 0.2819 0.1144 0.6558
K 0.4313 0.9133 0.0937
K 0.4483 0.1586 0.2878
K 0.4547 0.5023 0.6789
K 0.4575 0.2953 0.4925
K 0.5425 0.7047 0.5075
K 0.5453 0.4977 0.3211
K 0.5517 0.8414 0.7122
K 0.5687 0.0867 0.9063
K 0.7181 0.8856 0.3442
K 0.7356 0.5962 0.1510
K 0.7577 0.0487 0.5683
K 0.7667 0.4588 0.9422
K 0.9244 0.8026 0.9937
K 0.9270 0.6483 0.7817
K 0.9405 0.4194 0.5849
K 0.9890 0.9889 0.8215
W 0.0631 0.7737 0.5941
W 0.2200 0.7338 0.2486
W 0.3998 0.7423 0.9023
W 0.6002 0.2577 0.0977
W 0.7800 0.2662 0.7514
W 0.9369 0.2263 0.4059
O 0.0427 0.8801 0.6864
O 0.0474 0.3050 0.7122
O 0.0738 0.1811 0.4963
O 0.0903 0.7608 0.1465
O 0.1427 0.6325 0.9234
O 0.1838 0.3375 0.3780
O 0.2105 0.6256 0.5808
O 0.2708 0.8945 0.9255
O 0.3232 0.8815 0.5742
O 0.3411 0.1590 0.1247
O 0.3413 0.5910 0.2057
O 0.3597 0.7189 0.3505
O 0.3607 0.9040 0.2508
O 0.3728 0.6604 0.8005
O 0.4578 0.3196 0.0122
O 0.5422 0.6804 0.9878
O 0.6272 0.3396 0.1995
O 0.6393 0.0960 0.7492
O 0.6403 0.2811 0.6495
O 0.6587 0.4090 0.7943
O 0.6589 0.8410 0.8753
O 0.6768 0.1185 0.4258
O 0.7292 0.1055 0.0745
O 0.7895 0.3744 0.4192
O 0.8162 0.6625 0.6220
O 0.8573 0.3675 0.0766
O 0.9097 0.2392 0.8535
O 0.9262 0.8189 0.5037
O 0.9526 0.6950 0.2878
O 0.9573 0.1199 0.3136

Output
DOS at the Fermi energy   0.000 states/eV/cell
Space group   P-1 (2)
Energy above the most stable polymorph in this dataset   0.000 eV/atom

| no. | final energy (eV per formula unit) | V (Å³/atom) |
| --- | --- | --- |
| 1 | -28.30 | 18.26 |
| 2 | -74.25 | 15.44 |
| 3 | -32.56 | 20.29 |
| 4 | -32.45 | 17.76 |
| 5 | -57.22 | 17.34 |
| 6 | -67.94 | 12.84 |
| 7 | -54.37 | 19.07 |
| 8 | -123.52 | 13.93 |
| 9 | -102.65 | 16.14 |
| 10 | -32.90 | 15.29 |
| 11 | -124.29 | 14.90 |
| 12 | -29.28 | 15.17 |
| 13 | -56.81 | 14.99 |
| 14 | -55.13 | 18.91 |